Compound: Cs2RbTe2
Source: the Alexandria database
Functional: PBE
Structure: relaxed

a b c (Å): 12.1267 6.0336 15.0436
angles (deg): 90.00 101.96 90.00
Closest atoms and distances in Å follow each position.
Space group C2/m (No. 12)
Inequivalent atoms, fractional coordinates:
Cs  0.0681  0.0000  0.2370  5 Te 3.80-4.24, 1 Cs 4.19, 2 Rb 4.26
Cs  0.1601  0.0000  0.5889  6 Te 3.72-4.07
Rb  0.1416  0.5000  0.9101  3 Te 3.63-3.74
Te  0.0342  0.5000  0.4156  1 Te 2.83
Te  0.2119  0.5000  0.1569  3 Rb 3.63-3.74, 3 Cs 3.80-3.82

Calculated values
The volume comes out at 1076.8 Å³/cell. The relative energy among the computed polymorphs is 0.0000 eV per atom. The uncorrected formation energy comes out at -939 meV/atom.

Compound: Cs3RbTe
Source: the Alexandria database
Functional: PBE
Structure: relaxed

a b c (Å): 7.7383 7.7383 7.7383
angles (deg): 90.00 90.00 90.00
Closest atoms and distances in Å follow each position.
Space group Pm-3m (No. 221)
Inequivalent atoms, fractional coordinates:
Cs  0.0000  0.0000  0.5000  2 Rb 3.87
Rb  0.0000  0.0000  0.0000  6 Cs 3.87
Te  0.5000  0.5000  0.5000  12 Cs 5.47

Calculated values
The volume comes out at 463.4 Å³/cell. For the density of states at the Fermi level, the calculation gives 0.00 states/eV per cell. The relative energy among the computed polymorphs is 0.6593 eV per atom. The uncorrected formation energy comes out at 118 meV/atom.

Compound: CsRbTe4
Source: the Alexandria database
Functional: PBE
Structure: relaxed

a b c (Å): 4.5351 4.5351 12.3938
angles (deg): 90.00 90.00 90.00
Closest atoms and distances in Å follow each position.
Space group P4/mmm (No. 123)
Inequivalent atoms, fractional coordinates:
Cs  0.0000  0.0000  0.0000  8 Te 3.91
Rb  0.5000  0.5000  0.5000  8 Te 3.77
Te  0.0000  0.5000  0.2570  4 Te 3.21

Calculated values
The volume comes out at 254.9 Å³/cell. For the density of states at the Fermi level, the calculation gives 0.69 states/eV per cell. The relative energy among the computed polymorphs is 0.0000 eV per atom. The uncorrected formation energy comes out at -602 meV/atom.